Below is LiTeF after structural relaxation, with properties calculated at the PBE level.

a = 3.1691 Å, b = 3.1691 Å, c = 7.6310 Å
α = 90.00°, β = 90.00°, γ = 120.00°
Fractional positions:
Li1 0.0000 0.0000 0.0000
Te1 0.3333 0.6667 0.5000
F1 0.6667 0.3333 0.0000

- Space group: No. 187
- Calculated density: 3.8 g cm⁻³
- Distance to the lowest polymorph of the same formula: 0 meV per atom
- Energy relative to the elements, uncorrected: -1.73 eV per atom

=====

Below is LiTeF2 after structural relaxation, with properties calculated at the PBE level.

a = 7.8167 Å, b = 7.8167 Å, c = 7.8167 Å
α = 23.81°, β = 23.81°, γ = 23.81°
Fractional positions:
Li1 0.0000 0.0000 0.0000
Te1 0.5000 0.5000 0.5000
F1 0.0752 0.0752 0.0752
F2 0.9248 0.9248 0.9248

- Space group: No. 166
- Calculated density: 4.2 g cm⁻³
- Distance to the lowest polymorph of the same formula: 439 meV per atom
- Energy relative to the elements, uncorrected: -1.47 eV per atom

=====

Below is Li12Te3F5 after structural relaxation, with properties calculated at the PBE level.

a = 11.9700 Å, b = 11.9700 Å, c = 11.9700 Å
α = 109.47°, β = 109.47°, γ = 109.47°
Fractional positions:
Li1 0.0122 0.1974 0.1145
Li2 0.0122 0.3148 0.8976
Li3 0.0829 0.6974 0.6852
Li4 0.0829 0.8855 0.3976
Li5 0.1024 0.6145 0.4171
Li6 0.1024 0.9878 0.6852
Li7 0.1145 0.0122 0.1974
Li8 0.1145 0.6024 0.9171
Li9 0.1852 0.1974 0.5829
Li10 0.1852 0.4878 0.6024
Li11 0.1974 0.1145 0.0122
Li12 0.1974 0.5829 0.1852
Li13 0.3026 0.3148 0.9171
Li14 0.3026 0.4878 0.3855
Li15 0.3148 0.8976 0.0122
Li16 0.3148 0.9171 0.3026
Li17 0.3855 0.3026 0.4878
Li18 0.3855 0.5829 0.8976
Li19 0.3976 0.0829 0.8855
Li20 0.3976 0.8148 0.5122
Li21 0.4171 0.1024 0.6145
Li22 0.4171 0.8148 0.8026
Li23 0.4878 0.3855 0.3026
Li24 0.4878 0.6024 0.1852
Li25 0.5122 0.3976 0.8148
Li26 0.5122 0.6145 0.6974
Li27 0.5829 0.1852 0.1974
Li28 0.5829 0.8976 0.3855
Li29 0.6024 0.1852 0.4878
Li30 0.6024 0.9171 0.1145
Li31 0.6145 0.4171 0.1024
Li32 0.6145 0.6974 0.5122
Li33 0.6852 0.0829 0.6974
Li34 0.6852 0.1024 0.9878
Li35 0.6974 0.5122 0.6145
Li36 0.6974 0.6852 0.0829
Li37 0.8026 0.4171 0.8148
Li38 0.8026 0.8855 0.9878
Li39 0.8148 0.5122 0.3976
Li40 0.8148 0.8026 0.4171
Li41 0.8855 0.3976 0.0829
Li42 0.8855 0.9878 0.8026
Li43 0.8976 0.0122 0.3148
Li44 0.8976 0.3855 0.5829
Li45 0.9171 0.1145 0.6024
Li46 0.9171 0.3026 0.3148
Li47 0.9878 0.6852 0.1024
Li48 0.9878 0.8026 0.8855
Te1 0.1250 0.2500 0.3750
Te2 0.1250 0.3750 0.7500
Te3 0.2500 0.3750 0.1250
Te4 0.2500 0.8750 0.6250
Te5 0.3750 0.1250 0.2500
Te6 0.3750 0.7500 0.1250
Te7 0.6250 0.2500 0.8750
Te8 0.6250 0.8750 0.7500
Te9 0.7500 0.1250 0.3750
Te10 0.7500 0.6250 0.8750
Te11 0.8750 0.6250 0.2500
Te12 0.8750 0.7500 0.6250
F1 0.0000 0.0000 0.0000
F2 0.0000 0.0000 0.5000
F3 0.0000 0.5000 0.0000
F4 0.0000 0.5000 0.5000
F5 0.1250 0.7500 0.8750
F6 0.1250 0.8750 0.2500
F7 0.2500 0.1250 0.8750
F8 0.2500 0.6250 0.3750
F9 0.3750 0.2500 0.6250
F10 0.3750 0.6250 0.7500
F11 0.5000 0.0000 0.0000
F12 0.5000 0.0000 0.5000
F13 0.5000 0.5000 0.0000
F14 0.5000 0.5000 0.5000
F15 0.6250 0.3750 0.2500
F16 0.6250 0.7500 0.3750
F17 0.7500 0.3750 0.6250
F18 0.7500 0.8750 0.1250
F19 0.8750 0.1250 0.7500
F20 0.8750 0.2500 0.1250

- Space group: No. 230
- Calculated density: 2.8 g cm⁻³
- Energy relative to the elements, uncorrected: -1.77 eV per atom

=====

Below is LiTeF2 after structural relaxation, with properties calculated at the PBE level.

a = 4.4687 Å, b = 4.4687 Å, c = 4.4687 Å
α = 60.00°, β = 60.00°, γ = 60.00°
Fractional positions:
Li1 0.0000 0.0000 0.0000
Te1 0.5000 0.5000 0.5000
F1 0.2500 0.2500 0.2500
F2 0.7500 0.7500 0.7500

- Space group: No. 225
- Calculated density: 4.5 g cm⁻³
- Distance to the lowest polymorph of the same formula: 854 meV per atom
- Energy relative to the elements, uncorrected: -1.06 eV per atom

=====

Below is LiTeF6 after structural relaxation, with properties calculated at the PBE level.

a = 5.6074 Å, b = 5.6074 Å, c = 5.6074 Å
α = 56.32°, β = 56.32°, γ = 56.32°
Fractional positions:
Li1 0.0000 0.0000 0.0000
Te1 0.5000 0.5000 0.5000
F1 0.1402 0.3717 0.7441
F2 0.2559 0.8598 0.6283
F3 0.3717 0.7441 0.1402
F4 0.6283 0.2559 0.8598
F5 0.7441 0.1402 0.3717
F6 0.8598 0.6283 0.2559

- Space group: No. 148
- Calculated density: 3.6 g cm⁻³
- Energy relative to the elements, uncorrected: -2.23 eV per atom

=====

Below is LiTeF after structural relaxation, with properties calculated at the PBE level.

a = 7.0267 Å, b = 6.4354 Å, c = 7.5747 Å
α = 59.55°, β = 52.14°, γ = 68.32°
Fractional positions:
Li1 0.3352 0.6648 0.5083
Li2 0.6648 0.3352 0.4917
Li3 0.7417 0.7583 0.9148
Li4 0.7583 0.7417 0.5852
Te1 0.0071 0.1268 0.7708
Te2 0.1268 0.0071 0.0953
Te3 0.1547 0.4792 0.1232
Te4 0.4792 0.1547 0.2429
F1 0.0056 0.6545 0.6595
F2 0.5695 0.5905 0.5955
F3 0.5905 0.5695 0.2444
F4 0.6545 0.0056 0.6805

- Space group: No. 43
- Calculated density: 4.4 g cm⁻³
- Distance to the lowest polymorph of the same formula: 65 meV per atom
- Energy relative to the elements, uncorrected: -1.67 eV per atom

=====

What is the energy relative to the elements, uncorrected in the first record?
-1.73 eV per atom

=====

Which value of energy relative to the elements, uncorrected does entry 6 give?
-1.67 eV per atom

=====

Copy entry 3 word for word.
Below is Li12Te3F5 after structural relaxation, with properties calculated at the PBE level.

a = 11.9700 Å, b = 11.9700 Å, c = 11.9700 Å
α = 109.47°, β = 109.47°, γ = 109.47°
Fractional positions:
Li1 0.0122 0.1974 0.1145
Li2 0.0122 0.3148 0.8976
Li3 0.0829 0.6974 0.6852
Li4 0.0829 0.8855 0.3976
Li5 0.1024 0.6145 0.4171
Li6 0.1024 0.9878 0.6852
Li7 0.1145 0.0122 0.1974
Li8 0.1145 0.6024 0.9171
Li9 0.1852 0.1974 0.5829
Li10 0.1852 0.4878 0.6024
Li11 0.1974 0.1145 0.0122
Li12 0.1974 0.5829 0.1852
Li13 0.3026 0.3148 0.9171
Li14 0.3026 0.4878 0.3855
Li15 0.3148 0.8976 0.0122
Li16 0.3148 0.9171 0.3026
Li17 0.3855 0.3026 0.4878
Li18 0.3855 0.5829 0.8976
Li19 0.3976 0.0829 0.8855
Li20 0.3976 0.8148 0.5122
Li21 0.4171 0.1024 0.6145
Li22 0.4171 0.8148 0.8026
Li23 0.4878 0.3855 0.3026
Li24 0.4878 0.6024 0.1852
Li25 0.5122 0.3976 0.8148
Li26 0.5122 0.6145 0.6974
Li27 0.5829 0.1852 0.1974
Li28 0.5829 0.8976 0.3855
Li29 0.6024 0.1852 0.4878
Li30 0.6024 0.9171 0.1145
Li31 0.6145 0.4171 0.1024
Li32 0.6145 0.6974 0.5122
Li33 0.6852 0.0829 0.6974
Li34 0.6852 0.1024 0.9878
Li35 0.6974 0.5122 0.6145
Li36 0.6974 0.6852 0.0829
Li37 0.8026 0.4171 0.8148
Li38 0.8026 0.8855 0.9878
Li39 0.8148 0.5122 0.3976
Li40 0.8148 0.8026 0.4171
Li41 0.8855 0.3976 0.0829
Li42 0.8855 0.9878 0.8026
Li43 0.8976 0.0122 0.3148
Li44 0.8976 0.3855 0.5829
Li45 0.9171 0.1145 0.6024
Li46 0.9171 0.3026 0.3148
Li47 0.9878 0.6852 0.1024
Li48 0.9878 0.8026 0.8855
Te1 0.1250 0.2500 0.3750
Te2 0.1250 0.3750 0.7500
Te3 0.2500 0.3750 0.1250
Te4 0.2500 0.8750 0.6250
Te5 0.3750 0.1250 0.2500
Te6 0.3750 0.7500 0.1250
Te7 0.6250 0.2500 0.8750
Te8 0.6250 0.8750 0.7500
Te9 0.7500 0.1250 0.3750
Te10 0.7500 0.6250 0.8750
Te11 0.8750 0.6250 0.2500
Te12 0.8750 0.7500 0.6250
F1 0.0000 0.0000 0.0000
F2 0.0000 0.0000 0.5000
F3 0.0000 0.5000 0.0000
F4 0.0000 0.5000 0.5000
F5 0.1250 0.7500 0.8750
F6 0.1250 0.8750 0.2500
F7 0.2500 0.1250 0.8750
F8 0.2500 0.6250 0.3750
F9 0.3750 0.2500 0.6250
F10 0.3750 0.6250 0.7500
F11 0.5000 0.0000 0.0000
F12 0.5000 0.0000 0.5000
F13 0.5000 0.5000 0.0000
F14 0.5000 0.5000 0.5000
F15 0.6250 0.3750 0.2500
F16 0.6250 0.7500 0.3750
F17 0.7500 0.3750 0.6250
F18 0.7500 0.8750 0.1250
F19 0.8750 0.1250 0.7500
F20 0.8750 0.2500 0.1250

- Space group: No. 230
- Calculated density: 2.8 g cm⁻³
- Energy relative to the elements, uncorrected: -1.77 eV per atom

=====

Among the records above, which one has the highest energy relative to the elements, uncorrected?
number 4